No. 1
Entry from OQMD via LeMat-Bulk: a geometry-optimized AlCu5Pd6 structure (PBE).

```
AlCu5Pd6
1.0
2.134 -6.400 0.000
2.134 6.400 0.000
0.000 0.000 6.065
Al Cu Pd
1 5 6
direct
0.000 0.000 0.000
0.000 0.000 0.500
0.330 0.670 0.000
0.333 0.667 0.500
0.667 0.333 0.500
0.670 0.330 0.000
0.164 0.836 0.249
0.164 0.836 0.751
0.500 0.500 0.244
0.500 0.500 0.756
0.836 0.164 0.249
0.836 0.164 0.751
```

As for the crystal system: orthorhombic.

***

No. 2
Entry from OQMD via LeMat-Bulk: a geometry-optimized PrAl2CuPd structure (PBE).

```
PrAl2CuPd
1.0
4.270 0.000 0.000
0.000 4.270 0.000
0.000 0.000 10.347
Pr Al Cu Pd
2 4 2 2
direct
0.250 0.250 0.247
0.750 0.750 0.753
0.250 0.250 0.632
0.250 0.750 0.000
0.750 0.250 0.000
0.750 0.750 0.368
0.250 0.250 0.872
0.750 0.750 0.128
0.250 0.750 0.500
0.750 0.250 0.500
```

The magnetization comes out at 0.007 μB per formula unit. As for the crystal system: tetragonal.

***

No. 3
Entry from OQMD via LeMat-Bulk: a geometry-optimized PrAl3CuPd structure (PBE).

```
PrAl3CuPd
1.0
5.472 0.000 0.000
-2.736 4.739 0.000
0.000 0.000 4.182
Pr Al Cu Pd
1 3 1 1
direct
0.000 0.000 0.000
0.502 0.003 0.500
0.502 0.498 0.500
0.997 0.498 0.500
0.667 0.333 0.000
0.333 0.667 0.000
```

The magnetization comes out at 0.002 μB per formula unit. As for the crystal system: hexagonal.

***

No. 4
Entry from OQMD via LeMat-Bulk: a geometry-optimized Zr2Al2Cu2PdPt structure (PBE).

```
Zr2Al2Cu2PdPt
1.0
4.501 0.000 0.000
0.000 4.501 0.000
0.000 0.000 6.374
Zr Al Cu Pd Pt
2 2 2 1 1
direct
0.000 0.500 0.250
0.500 0.000 0.750
0.000 0.500 0.748
0.500 0.000 0.252
0.000 0.000 0.000
0.500 0.500 0.500
0.000 0.000 0.500
0.500 0.500 0.000
```

The magnetization comes out at 0.005 μB per formula unit. As for the crystal system: tetragonal.

***

No. 5
Entry from OQMD via LeMat-Bulk: a geometry-optimized AlCuRePd structure (PBE).

```
AlCuRePd
1.0
0.000 3.071 3.071
3.071 0.000 3.071
3.071 3.071 0.000
Al Cu Re Pd
1 1 1 1
direct
0.000 0.000 0.000
0.250 0.250 0.250
0.750 0.750 0.750
0.500 0.500 0.500
```

The magnetization comes out at 1.904 μB per formula unit. As for the crystal system: cubic. The calculation puts the relative energy among the computed polymorphs at 0 meV/atom.

***

No. 6
Entry from OQMD via LeMat-Bulk: a geometry-optimized Sc3Al3CuPd2 structure (PBE).

```
Sc3Al3CuPd2
1.0
7.106 0.000 0.000
-3.553 6.154 0.000
0.000 0.000 3.579
Sc Al Cu Pd
3 3 1 2
direct
0.000 0.592 0.000
0.408 0.408 0.000
0.592 0.000 0.000
0.000 0.248 0.500
0.248 0.000 0.500
0.752 0.752 0.500
0.000 0.000 0.000
0.333 0.667 0.500
0.667 0.333 0.500
```

The magnetization comes out at 0.001 μB per formula unit. As for the crystal system: hexagonal.

***

No. 7
Entry from OQMD via LeMat-Bulk: a geometry-optimized Sc3Al3Cu2Pd structure (PBE).

```
Sc3Al3Cu2Pd
1.0
6.958 0.000 0.000
-3.479 6.026 0.000
0.000 0.000 3.711
Sc Al Cu Pd
3 3 2 1
direct
0.000 0.586 0.000
0.414 0.414 0.000
0.586 0.000 0.000
0.000 0.257 0.500
0.257 0.000 0.500
0.743 0.743 0.500
0.333 0.667 0.500
0.667 0.333 0.500
0.000 0.000 0.000
```

The magnetization comes out at 0.004 μB per formula unit. As for the crystal system: hexagonal.

***

No. 8
Entry from OQMD via LeMat-Bulk: a geometry-optimized AlCuSiPd structure (PBE).

```
AlCuSiPd
1.0
0.000 3.026 3.026
3.026 0.000 3.026
3.026 3.026 0.000
Al Cu Si Pd
1 1 1 1
direct
0.000 0.000 0.000
0.750 0.750 0.750
0.500 0.500 0.500
0.250 0.250 0.250
```

As for the crystal system: cubic. The calculation puts the relative energy among the computed polymorphs at 0 meV/atom.

***

no.,VASP energy (eV/atom)
1,-4.788
2,-4.856
3,-4.808
4,-6.073
5,-6.111
6,-5.652
7,-5.346
8,-4.750